Record 1
Here is a relaxed structure of BaPBr2 from Alexandria. Energies are from PBE.

Output
Formation energy from raw total energies (meV/atom): -790
SG: Immm, No. 71
Polymorph energy (0 for the lowest one) (kJ/mol of formula units): 45

Cell and atoms, written as POSCAR:
```
BaPBr2
1.0
-2.864 2.294 -4.500
-5.306 -2.254 0.693
3.441 3.294 3.319
Ba Br P
1 2 1
direct
0.250 0.750 0.500
0.943 0.943 0.000
0.557 0.557 0.000
0.750 0.250 0.500
```

=====

Record 2
Here is a relaxed structure of LiInP2 from Alexandria. Energies are from PBE.

Output
E_form (eV/f.u.): -0.4
SG: Pna2_1, No. 33

Cell and atoms, written as POSCAR:
```
LiInP2
1.0
7.752 0.000 0.000
0.000 4.043 0.000
0.000 0.000 11.332
P In Li
8 4 4
direct
0.341 0.000 0.811
0.841 0.000 0.189
0.341 0.500 0.689
0.841 0.500 0.311
0.856 0.501 0.926
0.356 0.499 0.074
0.856 0.001 0.574
0.356 0.999 0.426
0.019 0.001 0.867
0.519 0.999 0.133
0.019 0.501 0.633
0.519 0.499 0.367
0.042 0.000 0.389
0.542 0.000 0.611
0.042 0.500 0.111
0.542 0.500 0.889
```

=====

Record 3
Here is a relaxed structure of Rb3Np2PdSe6 from Alexandria. Energies are from PBE.

Output
Formation energy from raw total energies (meV/atom): -1006
SG: C2/m, No. 12

Cell and atoms, written as POSCAR:
```
Rb3Np2PdSe6
1.0
-4.110 -5.947 -0.227
2.053 2.751 6.366
-5.878 5.583 -1.871
Rb Np Pd Se
3 2 1 6
direct
0.162 0.838 0.500
0.838 0.162 0.500
0.500 0.500 0.500
0.333 0.667 0.000
0.667 0.333 0.000
0.000 0.000 0.000
0.936 0.598 0.807
0.729 0.729 0.190
0.064 0.402 0.193
0.598 0.936 0.807
0.271 0.271 0.810
0.402 0.064 0.193
```

=====

Record 4
Here is a relaxed structure of YTm12Co6 from Alexandria. Energies are from PBE.

Output
E_form (eV/f.u.): -3.1
SG: Im-3, No. 204

Cell and atoms, written as POSCAR:
```
YTm12Co6
1.0
-6.210 -0.060 -5.577
0.385 -7.414 3.816
-1.400 5.973 5.660
Y Tm Co
1 12 6
direct
0.000 0.000 0.000
0.309 0.115 0.807
0.309 0.502 0.193
0.691 0.498 0.807
0.691 0.885 0.193
0.115 0.807 0.309
0.502 0.193 0.309
0.498 0.807 0.691
0.885 0.193 0.691
0.807 0.309 0.115
0.193 0.309 0.502
0.807 0.691 0.498
0.193 0.691 0.885
0.386 0.500 0.886
0.614 0.500 0.114
0.500 0.886 0.386
0.500 0.114 0.614
0.886 0.386 0.500
0.114 0.614 0.500
```

=====

Record 5
Here is a relaxed structure of Tb4F from Alexandria. Energies are from PBE.

Output
Formation energy from raw total energies (meV/atom): -937
SG: Pm-3m, No. 221

Cell and atoms, written as POSCAR:
```
Tb4F
1.0
5.053 0.000 0.000
0.000 5.053 0.000
0.000 0.000 5.053
Tb F
4 1
direct
0.000 0.000 0.000
0.500 0.000 0.500
0.000 0.500 0.500
0.500 0.500 0.000
0.500 0.500 0.500
```

=====

Record 6
Here is a relaxed structure of FeTc from Alexandria. Energies are from PBE.

Output
E_form (eV/f.u.): 0.2
SG: I4_1/amd, No. 141

Cell and atoms, written as POSCAR:
```
FeTc
1.0
3.736 0.000 0.000
-1.868 4.130 0.003
0.000 1.687 3.333
Fe Tc
2 2
direct
0.000 0.000 0.000
0.750 0.500 0.750
0.250 0.500 0.250
0.500 0.000 0.500
```

=====

Record 7
Here is a relaxed structure of CoRuSe2 from Alexandria. Energies are from PBE.

Output
Formation energy from raw total energies (meV/atom): -29
SG: P4mm, No. 99
Polymorph energy (0 for the lowest one) (kJ/mol of formula units): 90

Cell and atoms, written as POSCAR:
```
CoRuSe2
1.0
3.324 0.000 0.000
0.000 3.324 0.000
0.000 0.000 6.565
Co Ru Se
1 1 2
direct
0.000 0.000 0.509
0.500 0.500 0.737
0.000 0.000 0.878
0.500 0.500 0.375
```

=====

Record 8
Here is a relaxed structure of SiTe2Cl from Alexandria. Energies are from PBE.

Output
Formation energy from raw total energies (meV/atom): 203
SG: Pm, No. 6
Polymorph energy (0 for the lowest one) (kJ/mol of formula units): 112

Cell and atoms, written as POSCAR:
```
SiTe2Cl
1.0
4.668 0.000 0.000
0.000 3.158 -0.006
0.000 -0.145 6.755
Cl Si Te
1 1 2
direct
0.000 0.573 0.526
0.500 0.860 0.704
0.000 0.025 0.972
0.500 0.041 0.298
```

=====

Record 9
Here is a relaxed structure of LiScCl from Alexandria. Energies are from PBE.

Output
Formation energy from raw total energies (meV/atom): -680
SG: I4mm, No. 107
Polymorph energy (0 for the lowest one) (kJ/mol of formula units): 44

Cell and atoms, written as POSCAR:
```
LiScCl
1.0
6.604 0.027 0.000
5.031 4.278 0.000
-5.817 -2.153 2.266
Cl Li Sc
1 1 1
direct
0.020 0.020 0.000
0.334 0.334 0.000
0.645 0.645 0.000
```

=====

Record 10
Here is a relaxed structure of Y3TmZn4 from Alexandria. Energies are from PBE.

Output
E_form (eV/f.u.): -2.9
SG: R-3m, No. 166

Cell and atoms, written as POSCAR:
```
Y3TmZn4
1.0
4.841 0.000 1.429
2.209 4.307 1.429
0.055 0.034 8.728
Y Zn Tm
3 4 1
direct
0.251 0.251 0.248
0.749 0.749 0.752
0.500 0.500 0.500
0.875 0.875 0.374
0.375 0.375 0.876
0.125 0.125 0.626
0.625 0.625 0.124
0.000 0.000 0.000
```

=====

Record 11
Here is a relaxed structure of Na2MnInBr6 from Alexandria. Energies are from PBE.

Output
Formation energy from raw total energies (meV/atom): -1034
SG: R3, No. 146

Cell and atoms, written as POSCAR:
```
Na2MnInBr6
1.0
7.310 0.000 0.001
3.655 6.330 0.000
3.656 2.110 6.506
Na Mn In Br
2 1 1 6
direct
0.523 0.523 0.430
0.017 0.017 0.949
0.323 0.323 0.030
0.820 0.820 0.541
0.574 0.212 0.249
0.212 0.965 0.249
0.965 0.574 0.249
0.435 0.687 0.773
0.687 0.105 0.773
0.105 0.435 0.773
```

=====

Record 12
Here is a relaxed structure of Mg5AlCd2 from Alexandria. Energies are from PBE.

Output
E_form (eV/f.u.): 0.1
SG: I4/mcm, No. 140
Polymorph energy (0 for the lowest one) (kJ/mol of formula units): 0

Cell and atoms, written as POSCAR:
```
Mg5AlCd2
1.0
7.359 0.000 0.000
0.000 7.359 0.000
-3.679 -3.679 6.604
Mg Al Cd
10 2 4
direct
0.497 0.683 0.680
0.817 0.003 0.320
0.000 0.000 0.000
0.500 0.500 0.000
0.183 0.997 0.680
0.683 0.183 0.680
0.997 0.497 0.680
0.317 0.817 0.320
0.003 0.503 0.320
0.503 0.317 0.320
0.750 0.750 0.500
0.250 0.250 0.500
0.139 0.361 0.000
0.639 0.139 0.000
0.361 0.861 0.000
0.861 0.639 0.000
```